Entry 1:
Computed, not measured: a geometry-optimized Ti6Fe5Re structure at the PBE level of DFT.

SG: No. 65
mass density: 7.81 Mg/m³
energy relative to the elements: -0.4007 eV per atom
DOS(E_F): 4.8 states/eV per cell

a b c (Å): 6.681 6.681 5.977
angles (deg): 90.00 90.00 143.15
Positions (direct):
1 Ti 0.000 0.000 0.245
2 Ti 0.000 0.000 0.755
3 Ti 0.331 0.669 0.249
4 Ti 0.331 0.669 0.751
5 Ti 0.669 0.331 0.249
6 Ti 0.669 0.331 0.751
7 Fe 0.167 0.833 0.000
8 Fe 0.169 0.831 0.500
9 Fe 0.500 0.500 0.000
10 Fe 0.831 0.169 0.500
11 Fe 0.833 0.167 0.000
12 Re 0.500 0.500 0.500

---

Entry 2:
Computed, not measured: a geometry-optimized Ce2Dy6Tm structure at the PBE level of DFT.

SG: No. 69
mass density: 8.48 Mg/m³
energy relative to the elements: 0.0569 eV per atom
DOS(E_F): 16.7 states/eV per cell

a b c (Å): 10.573 7.896 7.867
angles (deg): 84.25 47.99 47.76
Positions (direct):
1 Ce 0.169 0.831 0.169
2 Ce 0.831 0.169 0.831
3 Dy 0.165 0.165 0.835
4 Dy 0.169 0.502 0.498
5 Dy 0.498 0.831 0.169
6 Dy 0.502 0.169 0.831
7 Dy 0.831 0.498 0.502
8 Dy 0.835 0.835 0.165
9 Tm 0.500 0.500 0.500

---

Entry 3:
Computed, not measured: a geometry-optimized KReS3 structure at the PBE level of DFT.

SG: No. 221
E_form (uncorrected): -290 meV per atom
mass density: 5.05 Mg/m³
DOS(E_F): 2.9 states/eV per cell
energy above the lowest structure with this stoichiometry: 0.272 eV/atom

a b c (Å): 4.728 4.728 4.728
angles (deg): 90.00 90.00 90.00
Positions (direct):
1 K 0.000 0.000 0.000
2 Re 0.500 0.500 0.500
3 S 0.000 0.500 0.500
4 S 0.500 0.000 0.500
5 S 0.500 0.500 0.000

---

Entry 4:
Computed, not measured: a geometry-optimized InICl2 structure at the PBE level of DFT.

SG: No. 225
E_form (uncorrected): -81 meV per atom
mass density: 4.51 Mg/m³
DOS(E_F): 19.1 states/eV per cell
energy above the lowest structure with this stoichiometry: 0.773 eV/atom

a b c (Å): 7.720 7.720 7.720
angles (deg): 90.00 90.00 90.00
Positions (direct):
1 In 0.000 0.000 0.000
2 In 0.000 0.500 0.500
3 In 0.500 0.000 0.500
4 In 0.500 0.500 0.000
5 I 0.000 0.000 0.500
6 I 0.000 0.500 0.000
7 I 0.500 0.000 0.000
8 I 0.500 0.500 0.500
9 Cl 0.250 0.250 0.250
10 Cl 0.250 0.250 0.750
11 Cl 0.250 0.750 0.250
12 Cl 0.250 0.750 0.750
13 Cl 0.750 0.250 0.250
14 Cl 0.750 0.250 0.750
15 Cl 0.750 0.750 0.250
16 Cl 0.750 0.750 0.750

---

Entry 5:
Computed, not measured: a geometry-optimized Sm2TaSbN5 structure at the PBE level of DFT.

SG: No. 36
E_form (uncorrected): -777 meV per atom
mass density: 8.98 Mg/m³
DOS(E_F): 2.5 states/eV per cell

a b c (Å): 7.263 7.263 10.616
angles (deg): 90.00 90.00 153.60
Positions (direct):
1 Sm 0.126 0.874 0.500
2 Sm 0.140 0.860 0.053
3 Sm 0.860 0.140 0.553
4 Sm 0.874 0.126 0.000
5 Ta 0.230 0.770 0.786
6 Ta 0.770 0.230 0.286
7 Sb 0.488 0.512 0.251
8 Sb 0.512 0.488 0.751
9 N 0.068 0.932 0.831
10 N 0.283 0.717 0.419
11 N 0.297 0.703 0.154
12 N 0.369 0.631 0.794
13 N 0.498 0.502 0.563
14 N 0.502 0.498 0.063
15 N 0.631 0.369 0.294
16 N 0.703 0.297 0.654
17 N 0.717 0.283 0.919
18 N 0.932 0.068 0.331

---

Entry 6:
Computed, not measured: a geometry-optimized Sm2ScAs structure at the PBE level of DFT.

SG: No. 166
mass density: 5.47 Mg/m³
energy relative to the elements: -0.2762 eV per atom
DOS(E_F): 16.6 states/eV per cell

a b c (Å): 3.842 3.842 29.932
angles (deg): 90.00 90.00 120.00
Positions (direct):
1 Sm 0.000 0.000 0.108
2 Sm 0.000 0.000 0.892
3 Sm 0.333 0.667 0.559
4 Sm 0.333 0.667 0.774
5 Sm 0.667 0.333 0.226
6 Sm 0.667 0.333 0.441
7 Sc 0.000 0.000 0.000
8 Sc 0.333 0.667 0.667
9 Sc 0.667 0.333 0.333
10 As 0.000 0.000 0.500
11 As 0.333 0.667 0.167
12 As 0.667 0.333 0.833

---

Entry 7:
Computed, not measured: a geometry-optimized BaSr5Mg4 structure at the PBE level of DFT.

SG: No. 123
mass density: 2.72 Mg/m³
energy relative to the elements: -0.0354 eV per atom
DOS(E_F): 12.2 states/eV per cell

a b c (Å): 4.208 4.208 23.229
angles (deg): 90.00 90.00 90.00
Positions (direct):
1 Ba 0.000 0.000 0.000
2 Sr 0.500 0.500 0.143
3 Sr 0.500 0.500 0.322
4 Sr 0.500 0.500 0.500
5 Sr 0.500 0.500 0.678
6 Sr 0.500 0.500 0.857
7 Mg 0.000 0.000 0.233
8 Mg 0.000 0.000 0.412
9 Mg 0.000 0.000 0.588
10 Mg 0.000 0.000 0.767

---

Entry 8:
Computed, not measured: a geometry-optimized MgZn6Ag8 structure at the PBE level of DFT.

SG: No. 147
mass density: 7.77 Mg/m³
energy relative to the elements: 0.0481 eV per atom
DOS(E_F): 2.9 states/eV per cell
energy above the lowest structure with this stoichiometry: 0.026 eV/atom

a b c (Å): 8.181 8.181 4.719
angles (deg): 90.00 90.00 120.00
Positions (direct):
1 Mg 0.000 0.000 0.000
2 Zn 0.132 0.468 0.896
3 Zn 0.336 0.868 0.896
4 Zn 0.468 0.336 0.104
5 Zn 0.532 0.664 0.896
6 Zn 0.664 0.132 0.104
7 Zn 0.868 0.532 0.104
8 Ag 0.014 0.697 0.615
9 Ag 0.303 0.317 0.615
10 Ag 0.317 0.014 0.385
11 Ag 0.333 0.667 0.381
12 Ag 0.667 0.333 0.619
13 Ag 0.683 0.986 0.615
14 Ag 0.697 0.683 0.385
15 Ag 0.986 0.303 0.385

---

Entry 9:
Computed, not measured: a geometry-optimized PrMg2MnN4 structure at the PBE level of DFT.

SG: No. 63
E_form (uncorrected): -653 meV per atom
mass density: 5.06 Mg/m³
DOS(E_F): 5.2 states/eV per cell

a b c (Å): 5.929 5.929 10.642
angles (deg): 90.00 90.00 148.15
Positions (direct):
1 Pr 0.071 0.929 0.750
2 Pr 0.929 0.071 0.250
3 Mg 0.383 0.617 0.539
4 Mg 0.383 0.617 0.961
5 Mg 0.617 0.383 0.039
6 Mg 0.617 0.383 0.461
7 Mn 0.190 0.810 0.250
8 Mn 0.810 0.190 0.750
9 N 0.000 0.000 0.000
10 N 0.000 0.000 0.500
11 N 0.275 0.725 0.122
12 N 0.275 0.725 0.378
13 N 0.400 0.600 0.750
14 N 0.600 0.400 0.250
15 N 0.725 0.275 0.622
16 N 0.725 0.275 0.878

---

Entry 10:
Computed, not measured: a geometry-optimized MnPtC2 structure at the PBE level of DFT.

SG: No. 225
mass density: 12.23 Mg/m³
energy relative to the elements: 1.4671 eV per atom
DOS(E_F): 9.8 states/eV per cell

a b c (Å): 5.300 5.300 5.300
angles (deg): 90.00 90.00 90.00
Positions (direct):
1 Mn 0.000 0.000 0.000
2 Mn 0.000 0.500 0.500
3 Mn 0.500 0.000 0.500
4 Mn 0.500 0.500 0.000
5 Pt 0.000 0.000 0.500
6 Pt 0.000 0.500 0.000
7 Pt 0.500 0.000 0.000
8 Pt 0.500 0.500 0.500
9 C 0.250 0.250 0.250
10 C 0.250 0.250 0.750
11 C 0.250 0.750 0.250
12 C 0.250 0.750 0.750
13 C 0.750 0.250 0.250
14 C 0.750 0.250 0.750
15 C 0.750 0.750 0.250
16 C 0.750 0.750 0.750

---

Entry 11:
Computed, not measured: a geometry-optimized Li2DyNpS4 structure at the PBE level of DFT.

SG: No. 10
E_form (uncorrected): -1588 meV per atom
mass density: 5.46 Mg/m³
DOS(E_F): 9.3 states/eV per cell

a b c (Å): 6.579 3.927 6.805
angles (deg): 90.00 110.35 90.00
Positions (direct):
1 Li 0.000 0.000 0.000
2 Li 0.000 0.500 0.500
3 Dy 0.500 0.000 0.500
4 Np 0.500 0.500 0.000
5 S 0.247 0.500 0.251
6 S 0.249 0.000 0.748
7 S 0.751 0.000 0.252
8 S 0.753 0.500 0.749

---

Entry 12:
Computed, not measured: a geometry-optimized Bi5SbRh3 structure at the PBE level of DFT.

SG: No. 12
E_form (uncorrected): -50 meV per atom
mass density: 9.96 Mg/m³
DOS(E_F): 11.9 states/eV per cell

a b c (Å): 7.525 7.525 9.768
angles (deg): 107.49 107.49 73.55
Positions (direct):
1 Bi 0.064 0.064 0.363
2 Bi 0.137 0.544 0.319
3 Bi 0.201 0.799 0.000
4 Bi 0.266 0.266 0.963
5 Bi 0.456 0.863 0.681
6 Bi 0.544 0.137 0.319
7 Bi 0.734 0.734 0.037
8 Bi 0.799 0.201 0.000
9 Bi 0.863 0.456 0.681
10 Bi 0.936 0.936 0.637
11 Sb 0.406 0.406 0.702
12 Sb 0.594 0.594 0.298
13 Rh 0.168 0.168 0.166
14 Rh 0.179 0.179 0.659
15 Rh 0.500 0.500 0.000
16 Rh 0.500 0.500 0.500
17 Rh 0.821 0.821 0.341
18 Rh 0.832 0.832 0.834